(1)
Material: LiCa2H
Method: DFT, PBE
State: optimized geometry

It has space group R3m (No. 160, hexagonal axes), with a = 3.7240 Å, b = 3.7240 Å, c = 24.9813 Å, α = 90.00°, β = 90.00° and γ = 120.00°. Symmetry generates all atoms from Li at (0.0000, 0.0000, 0.0000), Ca at (0.0000, 0.0000, 0.2248), Ca at (0.0000, 0.0000, 0.4401) and H at (0.0000, 0.0000, 0.8336).

The calculation puts the offset from the most stable computed form at 0.30 eV/f.u. The magnetic moment is 0.02 μB per formula unit. The total energy is -2.396 eV/atom.



(2)
Material: LiCaH
Method: DFT, PBE
State: optimized geometry

It has space group I4mm (No. 107), with a = 3.337 Å, b = 3.337 Å, c = 10.731 Å, α = 90.00°, β = 90.00° and γ = 90.00°. Symmetry generates all atoms from Li at (0.000, 0.000, 0.000), Ca at (0.000, 0.000, 0.719) and H at (0.000, 0.000, 0.173).

The calculation puts the offset from the most stable computed form at 0.52 eV/f.u. The magnetic moment is 0.00 μB per formula unit. The total energy is -2.514 eV/atom.



(3)
Material: LiCaH
Method: DFT, PBE
State: optimized geometry

It has space group P3m1 (No. 156), with a = 3.5471 Å, b = 3.5471 Å, c = 5.5279 Å, α = 90.00°, β = 90.00° and γ = 120.00°. Symmetry generates all atoms from Li at (0.0000, 0.0000, 0.0000), Ca at (0.6667, 0.3333, 0.5135) and H at (0.3333, 0.6667, 0.7505).

The calculation puts the offset from the most stable computed form at 0.55 eV/f.u. The magnetic moment is 0.09 μB per formula unit. The total energy is -2.506 eV/atom.



(4)
Material: LiCaH
Method: DFT, PBE
State: optimized geometry

It has space group P-6m2 (No. 187), with a = 3.9379 Å, b = 3.9379 Å, c = 4.3110 Å, α = 90.00°, β = 90.00° and γ = 120.00°. Symmetry generates all atoms from Li at (0.0000, 0.0000, 0.0000), Ca at (0.3333, 0.6667, 0.5000) and H at (0.0000, 0.0000, 0.5000).

The calculation puts the offset from the most stable computed form at 0.15 eV/f.u. The magnetic moment is 0.00 μB per formula unit. The total energy is -2.638 eV/atom.



(5)
Material: LiCaH2
Method: DFT, PBE
State: optimized geometry

It has space group Fm-3m (No. 225), with a = 5.804 Å, b = 5.804 Å, c = 5.804 Å, α = 90.00°, β = 90.00° and γ = 90.00°. Symmetry generates all atoms from Li at (0.000, 0.000, 0.000), Ca at (0.000, 0.000, 0.500) and H at (0.250, 0.250, 0.250).

The calculation puts the offset from the most stable computed form at 0.73 eV/f.u. The magnetic moment is 0.00 μB per formula unit. The total energy is -2.792 eV/atom.



(6)
Material: LiCa2H2
Method: DFT, PBE
State: optimized geometry

It has space group P4/mbm (No. 127), with a = 7.062 Å, b = 7.062 Å, c = 3.443 Å, α = 90.00°, β = 90.00° and γ = 90.00°. Symmetry generates all atoms from Li at (0.000, 0.000, 0.000), Ca at (0.172, 0.328, 0.500) and H at (0.134, 0.634, 0.000).

The calculation puts the offset from the most stable computed form at 1.36 eV/f.u. The magnetic moment is 0.00 μB per formula unit. The total energy is -2.571 eV/atom.



(7)
Material: LiCa4H10
Method: DFT, PBE
State: optimized geometry

It has space group R-3m (No. 166, hexagonal axes), with a = 3.7675 Å, b = 3.7675 Å, c = 41.8671 Å, α = 90.00°, β = 90.00° and γ = 120.00°. Symmetry generates all atoms from Li at (0.0000, 0.0000, 0.0000), Ca at (0.0000, 0.0000, 0.2045), Ca at (0.0000, 0.0000, 0.3866), H at (0.0000, 0.0000, 0.0425), H at (0.0000, 0.0000, 0.1485), H at (0.0000, 0.0000, 0.2583), H at (0.0000, 0.0000, 0.3251) and H at (0.0000, 0.0000, 0.4441).

The magnetic moment is 0.00 μB per formula unit. The total energy is -3.296 eV/atom.



(8)
Material: Li3Ca5H12
Method: DFT, PBE
State: optimized geometry

It has space group Ia-3d (No. 230), with a = 12.766 Å, b = 12.766 Å, c = 12.766 Å, α = 90.00°, β = 90.00° and γ = 90.00°. Symmetry generates all atoms from Li at (0.000, 0.250, 0.125), Ca at (0.000, 0.000, 0.000), Ca at (0.000, 0.250, 0.375) and H at (0.021, 0.060, 0.338).

The magnetic moment is 0.00 μB per formula unit. The total energy is -3.223 eV/atom.



(9)
Material: LiCa6H12
Method: DFT, PBE
State: optimized geometry

It has space group R-3 (No. 148, hexagonal axes), with a = 9.8748 Å, b = 9.8748 Å, c = 9.2636 Å, α = 90.00°, β = 90.00° and γ = 120.00°. Symmetry generates all atoms from Li at (0.0000, 0.0000, 0.0000), Ca at (0.0556, 0.7941, 0.6581), H at (0.0425, 0.8166, 0.4041) and H at (0.0452, 0.8350, 0.8978).

The magnetic moment is 0.00 μB per formula unit. The total energy is -3.338 eV/atom.



(10)
Material: LiCaH2
Method: DFT, PBE
State: optimized geometry

It has space group R-3m (No. 166, hexagonal axes), with a = 3.4116 Å, b = 3.4116 Å, c = 15.3238 Å, α = 90.00°, β = 90.00° and γ = 120.00°. Symmetry generates all atoms from Li at (0.0000, 0.0000, 0.0000), Ca at (0.0000, 0.0000, 0.5000) and H at (0.0000, 0.0000, 0.2572).

The calculation puts the offset from the most stable computed form at 0.43 eV/f.u. The magnetic moment is 0.00 μB per formula unit. The total energy is -2.867 eV/atom.



(11)
Material: LiCa2H
Method: DFT, PBE
State: optimized geometry

It has space group R-3m (No. 166, hexagonal axes), with a = 3.6348 Å, b = 3.6348 Å, c = 27.9877 Å, α = 90.00°, β = 90.00° and γ = 120.00°. Symmetry generates all atoms from Li at (0.0000, 0.0000, 0.0000), Ca at (0.0000, 0.0000, 0.1143) and H at (0.0000, 0.0000, 0.5000).

The calculation puts the offset from the most stable computed form at 0.67 eV/f.u. The magnetic moment is 0.00 μB per formula unit. The total energy is -2.303 eV/atom.



(12)
Material: Li3CaH
Method: DFT, PBE
State: optimized geometry

It has space group Pm-3m (No. 221), with a = 4.658 Å, b = 4.658 Å, c = 4.658 Å, α = 90.00°, β = 90.00° and γ = 90.00°. Symmetry generates all atoms from Li at (0.000, 0.000, 0.500), Ca at (0.500, 0.500, 0.500) and H at (0.000, 0.000, 0.000).

The magnetic moment is 0.00 μB per formula unit. The total energy is -2.130 eV/atom.